Record 1
Material: NbNi4Pt3
Method: DFT, GGA-PBE
State: optimized geometry

Computed properties:
As for the excess energy over the best structure of this formula in the dataset: 0.00 eV/f.u. The value obtained for the volume is 13.83 Å³/atom. The value obtained for the final energy is -52.42 eV for the cell shown. As for the formation energy: -138 meV per atom. The density of states at the Fermi level comes out at 13.71 states/eV/cell.

Cell: 8.9244 8.9244 4.7243 Å, 105.06 105.06 17.74°
Fractional coordinates of all 8 atoms:
Nb 0.0000 0.0000 0.0000
Ni 0.1238 0.1238 0.7916
Ni 0.3758 0.3758 0.7110
Ni 0.6242 0.6242 0.2890
Ni 0.8762 0.8762 0.2084
Pt 0.2503 0.2503 0.2496
Pt 0.5000 0.5000 0.5000
Pt 0.7497 0.7497 0.7504

***

Record 2
Material: Mo3Se
Method: DFT, GGA-PBE
State: optimized geometry

Computed properties:
As for the excess energy over the best structure of this formula in the dataset: 0.43 eV/f.u. The value obtained for the volume is 16.05 Å³/atom. The value obtained for the final energy is -34.92 eV for the cell shown. The density of states at the Fermi level comes out at 2.86 states/eV/cell. As for the uncorrected formation energy: 265 meV/atom.

Cell: 3.0903 4.7213 4.4011 Å, 90.00 90.00 90.00°
Fractional coordinates of all 4 atoms:
Mo 0.0000 0.0000 0.0000
Mo 0.0000 0.5000 0.3152
Mo 0.5000 0.0000 0.4972
Se 0.5000 0.5000 0.8512

***

Record 3
Material: Ca2MgPb8
Method: DFT, GGA-PBE
State: optimized geometry

Computed properties:
The value obtained for the volume is 30.39 Å³/atom. The value obtained for the final energy is -37.73 eV for the cell shown. As for the formation energy: -224 meV per atom. The density of states at the Fermi level comes out at 4.44 states/eV/cell.

Cell: 4.9738 4.9738 13.5129 Å, 90.00 90.00 90.00°
Fractional coordinates of all 11 atoms:
Ca 0.0000 0.0000 0.1791
Ca 0.0000 0.0000 0.8209
Mg 0.0000 0.0000 0.5000
Pb 0.0000 0.5000 0.0000
Pb 0.0000 0.5000 0.3638
Pb 0.0000 0.5000 0.6362
Pb 0.5000 0.0000 0.0000
Pb 0.5000 0.0000 0.3638
Pb 0.5000 0.0000 0.6362
Pb 0.5000 0.5000 0.1851
Pb 0.5000 0.5000 0.8149

***

Record 4
Material: BaSrH
Method: DFT, GGA-PBE
State: optimized geometry

Computed properties:
As for the excess energy over the best structure of this formula in the dataset: 0.01 eV/f.u. The value obtained for the volume is 39.05 Å³/atom. The value obtained for the final energy is -15.26 eV for the cell shown. The density of states at the Fermi level comes out at 5.83 states/eV/cell.

Cell: 7.4811 4.3334 7.6402 Å, 90.00 108.94 90.00°
Fractional coordinates of all 6 atoms:
Ba 0.0000 0.0000 0.0000
Ba 0.4813 0.5000 0.0092
Sr 0.4821 0.0000 0.4626
Sr 0.9517 0.5000 0.4856
H 0.3663 0.0000 0.1258
H 0.5982 0.5000 0.3727

***

Record 5
Material: FeIrOsS2
Method: DFT, GGA-PBE
State: optimized geometry

Computed properties:
The value obtained for the volume is 15.88 Å³/atom. The value obtained for the final energy is -29.82 eV for the cell shown. The density of states at the Fermi level comes out at 8.32 states/eV/cell. As for the uncorrected formation energy: 1398 meV/atom.

Cell: 4.1578 4.1578 4.5926 Å, 90.00 90.00 90.00°
Fractional coordinates of all 5 atoms:
Fe 0.0000 0.0000 0.0000
Ir 0.0000 0.0000 0.5000
Os 0.5000 0.5000 0.5000
S 0.0000 0.5000 0.0000
S 0.5000 0.0000 0.0000

***

Record 6
Material: AcGa4CoCu2
Method: DFT, GGA-PBE
State: optimized geometry

Computed properties:
The value obtained for the volume is 17.68 Å³/atom. The value obtained for the final energy is -33.76 eV for the cell shown. As for the formation energy: -280 meV per atom. The density of states at the Fermi level comes out at 4.18 states/eV/cell.

Cell: 9.6025 9.6025 9.6025 Å, 25.22 25.22 25.22°
Fractional coordinates of all 8 atoms:
Ac 0.0000 0.0000 0.0000
Ga 0.1357 0.1357 0.1357
Ga 0.4102 0.4102 0.4102
Ga 0.5898 0.5898 0.5898
Ga 0.8643 0.8643 0.8643
Co 0.5000 0.5000 0.5000
Cu 0.2303 0.2303 0.2303
Cu 0.7697 0.7697 0.7697

***

Record 7
Material: Pm3Co3I
Method: DFT, GGA-PBE
State: optimized geometry

Computed properties:
The value obtained for the volume is 23.95 Å³/atom. The value obtained for the final energy is -78.48 eV for the cell shown. The density of states at the Fermi level comes out at 17.57 states/eV/cell. As for the uncorrected formation energy: -303 meV/atom.

Cell: 9.8909 9.8909 3.9576 Å, 90.00 90.00 120.00°
Fractional coordinates of all 14 atoms:
Pm 0.0654 0.6988 0.2500
Pm 0.3011 0.3666 0.2500
Pm 0.3666 0.0654 0.7500
Pm 0.6334 0.9346 0.2500
Pm 0.6988 0.6334 0.7500
Pm 0.9346 0.3011 0.7500
Co 0.0195 0.8663 0.7500
Co 0.1337 0.1532 0.7500
Co 0.1532 0.0195 0.2500
Co 0.8468 0.9805 0.7500
Co 0.8663 0.8468 0.2500
Co 0.9805 0.1337 0.2500
I 0.3333 0.6667 0.7500
I 0.6667 0.3333 0.2500

***

Record 8
Material: Sr2ReAgN
Method: DFT, GGA-PBE
State: optimized geometry

Computed properties:
The value obtained for the volume is 23.40 Å³/atom. The value obtained for the final energy is -27.86 eV for the cell shown. The density of states at the Fermi level comes out at 4.07 states/eV/cell. As for the uncorrected formation energy: -175 meV/atom.

Cell: 5.5087 5.5087 3.8555 Å, 90.00 90.00 90.00°
Fractional coordinates of all 5 atoms:
Sr 0.0000 0.5000 0.0000
Sr 0.5000 0.0000 0.0000
Re 0.0000 0.0000 0.5000
Ag 0.5000 0.5000 0.5000
N 0.0000 0.0000 0.0000

***

Record 9
Material: Np2NiAs4
Method: DFT, GGA-PBE
State: optimized geometry

Computed properties:
The value obtained for the volume is 19.88 Å³/atom. The value obtained for the final energy is -54.07 eV for the cell shown. As for the formation energy: -544 meV per atom. The density of states at the Fermi level comes out at 17.91 states/eV/cell.

Cell: 3.9865 3.9865 8.7572 Å, 90.00 90.00 90.00°
Fractional coordinates of all 7 atoms:
Np 0.0000 0.5000 0.2385
Np 0.5000 0.0000 0.7615
Ni 0.5000 0.5000 0.0000
As 0.0000 0.0000 0.5000
As 0.0000 0.5000 0.8545
As 0.5000 0.0000 0.1455
As 0.5000 0.5000 0.5000

***

Record 10
Material: NaSi2Rh2
Method: DFT, GGA-PBE
State: optimized geometry

Computed properties:
The value obtained for the volume is 16.43 Å³/atom. The value obtained for the final energy is -29.22 eV for the cell shown. The density of states at the Fermi level comes out at 2.11 states/eV/cell. As for the uncorrected formation energy: -471 meV/atom.

Cell: 6.2591 6.2591 6.2591 Å, 144.52 144.52 51.04°
Fractional coordinates of all 5 atoms:
Na 0.0000 0.0000 0.0000
Si 0.2500 0.7500 0.5000
Si 0.7500 0.2500 0.5000
Rh 0.3762 0.3762 0.0000
Rh 0.6238 0.6238 0.0000

***

Record 11
Material: MnAl2Co
Method: DFT, GGA-PBE
State: optimized geometry

Computed properties:
The value obtained for the volume is 12.78 Å³/atom. The value obtained for the final energy is -24.24 eV for the cell shown. As for the formation energy: -120 meV per atom. The density of states at the Fermi level comes out at 3.22 states/eV/cell.

Cell: 2.6488 2.6488 7.2868 Å, 90.00 90.00 90.00°
Fractional coordinates of all 4 atoms:
Mn 0.0000 0.0000 0.0000
Al 0.0000 0.0000 0.5630
Al 0.5000 0.5000 0.2422
Co 0.5000 0.5000 0.7956

***

Record 12
Material: BaSb2Os
Method: DFT, GGA-PBE
State: optimized geometry

Computed properties:
The value obtained for the volume is 27.26 Å³/atom. The value obtained for the final energy is -21.11 eV for the cell shown. The density of states at the Fermi level comes out at 2.25 states/eV/cell. As for the uncorrected formation energy: 71 meV/atom.

Cell: 3.4745 4.4584 7.0391 Å, 90.00 90.00 90.00°
Fractional coordinates of all 4 atoms:
Ba 0.0000 0.0000 0.0000
Sb 0.5000 0.5000 0.2917
Sb 0.5000 0.5000 0.7083
Os 0.5000 0.0000 0.5000

***

Record 13
Material: CeMg6V
Method: DFT, GGA-PBE
State: optimized geometry

Computed properties:
As for the excess energy over the best structure of this formula in the dataset: 0.05 eV/f.u. The value obtained for the volume is 23.07 Å³/atom. The value obtained for the final energy is -22.95 eV for the cell shown. As for the formation energy: 209 meV per atom. The density of states at the Fermi level comes out at 9.34 states/eV/cell.

Cell: 4.9718 6.6189 6.6189 Å, 57.93 90.00 90.00°
Fractional coordinates of all 8 atoms:
Ce 0.0000 0.0000 0.0000
Mg 0.0000 0.4690 0.4690
Mg 0.0000 0.4834 0.9883
Mg 0.0000 0.9883 0.4834
Mg 0.5000 0.1325 0.6306
Mg 0.5000 0.6306 0.1325
Mg 0.5000 0.6305 0.6305
V 0.5000 0.1327 0.1327

***

Record 14
Material: CeZn6Au2
Method: DFT, GGA-PBE
State: optimized geometry

Computed properties:
As for the excess energy over the best structure of this formula in the dataset: 0.71 eV/f.u. The value obtained for the volume is 18.57 Å³/atom. The value obtained for the final energy is -21.76 eV for the cell shown. As for the formation energy: -181 meV per atom. The density of states at the Fermi level comes out at 7.61 states/eV/cell.

Cell: 7.2915 7.2915 7.2915 Å, 147.63 125.48 64.85°
Fractional coordinates of all 9 atoms:
Ce 0.0000 0.0000 0.0000
Zn 0.0114 0.3109 0.7004
Zn 0.3192 0.5000 0.8192
Zn 0.3895 0.6891 0.7004
Zn 0.6105 0.3109 0.2996
Zn 0.6808 0.5000 0.1808
Zn 0.9886 0.6891 0.2996
Au 0.3764 0.8764 0.5000
Au 0.6236 0.1236 0.5000

***

Record 15
Material: PuMgHgSb
Method: DFT, GGA-PBE
State: optimized geometry

Computed properties:
The value obtained for the volume is 25.18 Å³/atom. The value obtained for the final energy is -21.57 eV for the cell shown. The density of states at the Fermi level comes out at 12.97 states/eV/cell. As for the uncorrected formation energy: -306 meV/atom.

Cell: 5.2227 5.2227 5.2227 Å, 60.00 60.00 60.00°
Fractional coordinates of all 4 atoms:
Pu 0.0000 0.0000 0.0000
Mg 0.5000 0.5000 0.5000
Hg 0.2500 0.2500 0.2500
Sb 0.7500 0.7500 0.7500

***

Record 16
Material: LaRe3B
Method: DFT, GGA-PBE
State: optimized geometry

Computed properties:
As for the excess energy over the best structure of this formula in the dataset: 0.00 eV/f.u. The value obtained for the volume is 16.48 Å³/atom. The value obtained for the final energy is -46.75 eV for the cell shown. As for the formation energy: 439 meV per atom. The density of states at the Fermi level comes out at 7.83 states/eV/cell.

Cell: 4.3520 4.3520 4.3520 Å, 90.00 90.00 90.00°
Fractional coordinates of all 5 atoms:
La 0.0000 0.0000 0.0000
Re 0.0000 0.5000 0.5000
Re 0.5000 0.0000 0.5000
Re 0.5000 0.5000 0.0000
B 0.5000 0.5000 0.5000

***

Record 17
Material: Ho6Mg5Hg
Method: DFT, GGA-PBE
State: optimized geometry

Computed properties:
The value obtained for the volume is 26.57 Å³/atom. The value obtained for the final energy is -37.42 eV for the cell shown. As for the formation energy: -140 meV per atom. The density of states at the Fermi level comes out at 15.80 states/eV/cell.

Cell: 8.4472 8.4472 7.4633 Å, 90.00 90.00 143.22°
Fractional coordinates of all 12 atoms:
Ho 0.0000 0.0000 0.2466
Ho 0.0000 0.0000 0.7534
Ho 0.3355 0.6645 0.2502
Ho 0.3355 0.6645 0.7498
Ho 0.6645 0.3355 0.2502
Ho 0.6645 0.3355 0.7498
Mg 0.1679 0.8321 0.5000
Mg 0.1725 0.8275 0.0000
Mg 0.5000 0.5000 0.5000
Mg 0.8275 0.1725 0.0000
Mg 0.8321 0.1679 0.5000
Hg 0.5000 0.5000 0.0000

***

Record 18
Material: CdSn2Ir
Method: DFT, GGA-PBE
State: optimized geometry

Computed properties:
The value obtained for the volume is 22.86 Å³/atom. The value obtained for the final energy is -17.79 eV for the cell shown. As for the formation energy: -2 meV per atom. The density of states at the Fermi level comes out at 1.76 states/eV/cell.

Cell: 4.3461 3.1450 7.0251 Å, 90.00 107.77 90.00°
Fractional coordinates of all 4 atoms:
Cd 0.0000 0.0000 0.0000
Sn 0.3813 0.5000 0.7616
Sn 0.6737 0.5000 0.3377
Ir 0.2158 0.0000 0.4234

***

Record 19
Material: TmZrZnIn
Method: DFT, GGA-PBE
State: optimized geometry

Computed properties:
The value obtained for the volume is 21.96 Å³/atom. The value obtained for the final energy is -18.10 eV for the cell shown. As for the formation energy: -266 meV per atom. The density of states at the Fermi level comes out at 1.52 states/eV/cell.

Cell: 4.9893 4.9893 4.9893 Å, 60.00 60.00 60.00°
Fractional coordinates of all 4 atoms:
Tm 0.0000 0.0000 0.0000
Zr 0.5000 0.5000 0.5000
Zn 0.2500 0.2500 0.2500
In 0.7500 0.7500 0.7500

***

Record 20
Material: NiHgPb2
Method: DFT, GGA-PBE
State: optimized geometry

Computed properties:
The value obtained for the volume is 28.91 Å³/atom. The value obtained for the final energy is -23.94 eV for the cell shown. As for the formation energy: 382 meV per atom. The density of states at the Fermi level comes out at 4.69 states/eV/cell.

Cell: 9.0929 9.0929 9.0929 Å, 146.23 146.23 48.50°
Fractional coordinates of all 8 atoms:
Ni 0.0000 0.0000 0.0000
Ni 0.7500 0.2500 0.5000
Hg 0.2500 0.7500 0.5000
Hg 0.5000 0.5000 0.0000
Pb 0.0558 0.6250 0.9308
Pb 0.3750 0.3058 0.4308
Pb 0.6942 0.1250 0.0692
Pb 0.8750 0.9442 0.5692